VASP calculation (GGA-PBEsol) on a geometry-optimized AlMoPb2 structure.

a = 6.071 Å, b = 7.797 Å, c = 3.487 Å
α = 90.00°, β = 90.00°, γ = 90.00°
Space group Cmmm (No. 65)
One atom of each set of equivalent atoms:
Al1 0.000 0.000 0.000 (multiplicity 2)
Mo1 0.000 0.500 0.000 (multiplicity 2)
Pb1 0.250 0.250 0.500 (multiplicity 4)

Computed properties:
final energy: -5.282 eV per atom
DFT formation energy: 681.8 meV per atom
spin magnetization: 0.01 μB per cell
volume: 20.6 Å³ per atom
DOS(E_F): 4.156 states/eV/f.u.